# 1
Here is Ta2W after structural relaxation from Alexandria. Energies are from PBEsol.

D(E_F): 0.8887 states/eV/atom
E_tot: -13.04 eV/atom
ΔH_f (0 K): -0.074 eV/atom
energy above the lowest structure with this stoichiometry: 0.0005 eV/atom
ρ: 17.91 g/cm³

```
data_Ta2W
_chemical_formula_sum 'Ta4 W2'
_cell_length_a 3.227
_cell_length_b 4.597
_cell_length_c 7.010
_cell_angle_alpha 90.00
_cell_angle_beta 103.31
_cell_angle_gamma 90.00
_space_group_name_H-M_alt 'P 1'
_space_group_IT_number 1
_space_group_name_Hall 'P 1'
loop_
_atom_site_label
_atom_site_type_symbol
_atom_site_fract_x
_atom_site_fract_y
_atom_site_fract_z
W1 W 0.416 0.750 0.832
Ta1 Ta 0.080 0.750 0.161
Ta2 Ta 0.755 0.750 0.510
W2 W 0.584 0.250 0.168
Ta3 Ta 0.920 0.250 0.839
Ta4 Ta 0.245 0.250 0.490
```

***

# 2
Here is LaAl3 after structural relaxation from Alexandria. Energies are from PBEsol.

D(E_F): 0.8564 states/eV/atom
E_tot: -4.36 eV/atom
ΔH_f (0 K): 0.046 eV/atom
ρ: 4.33 g/cm³

```
data_LaAl3
_chemical_formula_sum 'La1 Al3'
_cell_length_a 3.168
_cell_length_b 3.168
_cell_length_c 9.688
_cell_angle_alpha 90.00
_cell_angle_beta 90.00
_cell_angle_gamma 120.00
_space_group_name_H-M_alt 'P 1'
_space_group_IT_number 1
_space_group_name_Hall 'P 1'
loop_
_atom_site_label
_atom_site_type_symbol
_atom_site_fract_x
_atom_site_fract_y
_atom_site_fract_z
Al1 Al 0.000 0.000 0.218
Al2 Al 0.000 0.000 0.782
Al3 Al 0.333 0.667 0.000
La1 La 0.333 0.667 0.500
```

***

# 3
Here is HgPtSe2 after structural relaxation from Alexandria. Energies are from PBEsol.

D(E_F): 0.1821 states/eV/atom
E_tot: -4.06 eV/atom
energy above the lowest structure with this stoichiometry: 0.0000 eV/atom
formation energy from raw total energies: -252.4 meV/atom
ρ: 10.09 g/cm³

```
data_HgPtSe2
_chemical_formula_sum 'Hg1 Pt1 Se2'
_cell_length_a 3.719
_cell_length_b 3.719
_cell_length_c 7.900
_cell_angle_alpha 76.38
_cell_angle_beta 76.38
_cell_angle_gamma 60.00
_space_group_name_H-M_alt 'P 1'
_space_group_IT_number 1
_space_group_name_Hall 'P 1'
loop_
_atom_site_label
_atom_site_type_symbol
_atom_site_fract_x
_atom_site_fract_y
_atom_site_fract_z
Se1 Se 0.724 0.724 0.829
Pt1 Pt 0.000 0.000 0.000
Se2 Se 0.276 0.276 0.171
Hg1 Hg 0.500 0.500 0.500
```

***

# 4
Here is Rb3CrTc after structural relaxation from Alexandria. Energies are from PBEsol.

D(E_F): 1.9711 states/eV/atom
E_tot: -2.95 eV/atom
ΔH_f (0 K): 1.970 eV/atom
ρ: 2.29 g/cm³

```
data_Rb3CrTc
_chemical_formula_sum 'Rb3 Cr1 Tc1'
_cell_length_a 6.654
_cell_length_b 6.654
_cell_length_c 6.654
_cell_angle_alpha 90.00
_cell_angle_beta 90.00
_cell_angle_gamma 90.00
_space_group_name_H-M_alt 'P 1'
_space_group_IT_number 1
_space_group_name_Hall 'P 1'
loop_
_atom_site_label
_atom_site_type_symbol
_atom_site_fract_x
_atom_site_fract_y
_atom_site_fract_z
Rb1 Rb 0.000 0.000 0.500
Tc1 Tc 0.500 0.500 0.500
Cr1 Cr 0.000 0.000 0.000
Rb2 Rb 0.000 0.500 0.000
Rb3 Rb 0.500 0.000 0.000
```

***

# 5
Here is Tl2TeBr after structural relaxation from Alexandria. Energies are from PBEsol.

D(E_F): 0.2224 states/eV/atom
E_tot: -2.97 eV/atom
energy above the lowest structure with this stoichiometry: 0.1016 eV/atom
formation energy from raw total energies: -310.2 meV/atom
ρ: 8.28 g/cm³

```
data_Tl2TeBr
_chemical_formula_sum 'Tl2 Te1 Br1'
_cell_length_a 4.411
_cell_length_b 4.411
_cell_length_c 7.075
_cell_angle_alpha 108.16
_cell_angle_beta 108.16
_cell_angle_gamma 90.00
_space_group_name_H-M_alt 'P 1'
_space_group_IT_number 1
_space_group_name_Hall 'P 1'
loop_
_atom_site_label
_atom_site_type_symbol
_atom_site_fract_x
_atom_site_fract_y
_atom_site_fract_z
Tl1 Tl 0.750 0.250 0.500
Br1 Br 0.500 0.500 0.000
Tl2 Tl 0.000 0.000 0.000
Te1 Te 0.250 0.750 0.500
```

***

# 6
Here is LaSb2Mo after structural relaxation from Alexandria. Energies are from PBEsol.

D(E_F): 0.9972 states/eV/atom
E_tot: -6.69 eV/atom
energy above the lowest structure with this stoichiometry: 0.0000 eV/atom
formation energy from raw total energies: -130.6 meV/atom
ρ: 8.28 g/cm³

```
data_LaSb2Mo
_chemical_formula_sum 'La1 Sb2 Mo1'
_cell_length_a 3.510
_cell_length_b 3.510
_cell_length_c 9.222
_cell_angle_alpha 79.03
_cell_angle_beta 79.03
_cell_angle_gamma 60.00
_space_group_name_H-M_alt 'P 1'
_space_group_IT_number 1
_space_group_name_Hall 'P 1'
loop_
_atom_site_label
_atom_site_type_symbol
_atom_site_fract_x
_atom_site_fract_y
_atom_site_fract_z
Sb1 Sb 0.735 0.735 0.796
Sb2 Sb 0.265 0.265 0.204
La1 La 0.500 0.500 0.500
Mo1 Mo 0.000 0.000 0.000
```

***

# 7
Here is ScTaIr2 after structural relaxation from Alexandria. Energies are from PBEsol.

D(E_F): 0.6546 states/eV/atom
E_tot: -10.42 eV/atom
ΔH_f (0 K): -0.717 eV/atom
ρ: 15.76 g/cm³

```
data_ScTaIr2
_chemical_formula_sum 'Sc1 Ta1 Ir2'
_cell_length_a 2.931
_cell_length_b 4.592
_cell_length_c 4.783
_cell_angle_alpha 90.00
_cell_angle_beta 92.87
_cell_angle_gamma 90.00
_space_group_name_H-M_alt 'P 1'
_space_group_IT_number 1
_space_group_name_Hall 'P 1'
loop_
_atom_site_label
_atom_site_type_symbol
_atom_site_fract_x
_atom_site_fract_y
_atom_site_fract_z
Ta1 Ta 0.344 0.500 0.843
Ir1 Ir 0.850 0.000 0.921
Ir2 Ir 0.907 0.500 0.337
Sc1 Sc 0.399 0.000 0.399
```

***

# 8
Here is TiCr2S4 after structural relaxation from Alexandria. Energies are from PBEsol.

D(E_F): 0.5028 states/eV/atom
E_tot: -7.56 eV/atom
formation energy from raw total energies: -943.6 meV/atom
ρ: 4.17 g/cm³

```
data_TiCr2S4
_chemical_formula_sum 'Ti1 Cr2 S4'
_cell_length_a 3.371
_cell_length_b 5.981
_cell_length_c 6.503
_cell_angle_alpha 117.10
_cell_angle_beta 105.02
_cell_angle_gamma 90.00
_space_group_name_H-M_alt 'P 1'
_space_group_IT_number 1
_space_group_name_Hall 'P 1'
loop_
_atom_site_label
_atom_site_type_symbol
_atom_site_fract_x
_atom_site_fract_y
_atom_site_fract_z
S1 S 0.632 0.301 0.264
Cr1 Cr 0.744 0.755 0.488
S2 S 0.128 0.800 0.256
Ti1 Ti 0.000 0.000 0.000
S3 S 0.872 0.200 0.744
S4 S 0.368 0.699 0.736
Cr2 Cr 0.256 0.245 0.512
```